Record 1
# NaS6I2 | the Alexandria database | PBE-GGA | optimized geometry
data_NaS6I2
_symmetry_space_group_name_H-M 'P -1'
_symmetry_Int_Tables_number 2
_symmetry_space_group_name_Hall '-P 1'
_cell_length_a 6.091
_cell_length_b 7.099
_cell_length_c 8.427
_cell_angle_alpha 80.53
_cell_angle_beta 79.75
_cell_angle_gamma 65.48
loop_
_atom_site_label
_atom_site_type_symbol
_atom_site_fract_x
_atom_site_fract_y
_atom_site_fract_z
Na1 Na 0.000 0.000 0.000
S1 S 0.209 0.704 0.729
S2 S 0.244 0.442 0.873
S3 S 0.254 0.218 0.748
I1 I 0.271 0.051 0.273
# raw total energy	-30.2	eV for the cell shown
# formation energy without anion corrections	-117	meV/atom

Record 2
# Na3SI | the Alexandria database | PBE-GGA | optimized geometry
data_Na3SI
_symmetry_space_group_name_H-M 'P m -3 m'
_symmetry_Int_Tables_number 221
_symmetry_space_group_name_Hall '-P 4 2 3'
_cell_length_a 5.633
_cell_length_b 5.633
_cell_length_c 5.633
_cell_angle_alpha 90.00
_cell_angle_beta 90.00
_cell_angle_gamma 90.00
loop_
_atom_site_label
_atom_site_type_symbol
_atom_site_fract_x
_atom_site_fract_y
_atom_site_fract_z
Na1 Na 0.000 0.000 0.500
S1 S 0.500 0.500 0.500
I1 I 0.000 0.000 0.000
# offset from the most stable computed form	3.08	eV/f.u.
# raw total energy	-12.1	eV for the cell shown
# formation energy without anion corrections	-502	meV/atom

Record 3
# NaS3I | the Alexandria database | PBE-GGA | optimized geometry
data_NaS3I
_symmetry_space_group_name_H-M 'P m -3 m'
_symmetry_Int_Tables_number 221
_symmetry_space_group_name_Hall '-P 4 2 3'
_cell_length_a 5.296
_cell_length_b 5.296
_cell_length_c 5.296
_cell_angle_alpha 90.00
_cell_angle_beta 90.00
_cell_angle_gamma 90.00
loop_
_atom_site_label
_atom_site_type_symbol
_atom_site_fract_x
_atom_site_fract_y
_atom_site_fract_z
Na1 Na 0.000 0.000 0.000
S1 S 0.000 0.000 0.500
I1 I 0.500 0.500 0.500
# offset from the most stable computed form	3.02	eV/f.u.
# raw total energy	-10.5	eV for the cell shown
# formation energy without anion corrections	954	meV/atom

Record 4
# NaS2I | the Alexandria database | PBE-GGA | optimized geometry
data_NaS2I
_symmetry_space_group_name_H-M 'R -3 m'
_symmetry_Int_Tables_number 166
_symmetry_space_group_name_Hall '-R 3 2"'
_cell_length_a 4.6094
_cell_length_b 4.6094
_cell_length_c 22.4996
_cell_angle_alpha 90.00
_cell_angle_beta 90.00
_cell_angle_gamma 120.00
loop_
_atom_site_label
_atom_site_type_symbol
_atom_site_fract_x
_atom_site_fract_y
_atom_site_fract_z
Na1 Na 0.0000 0.0000 0.0000
S1 S 0.0000 0.0000 0.1173
I1 I 0.0000 0.0000 0.5000
# offset from the most stable computed form	1.17	eV/f.u.
# raw total energy	-29.6	eV for the cell shown
# formation energy without anion corrections	317	meV/atom

no.,theoretical density (g/cm3)
1,2.401
2,2.118
3,2.751
4,2.575